Below is a geometry-optimized Y3Ho2Tm3 structure, with properties calculated at the PBE level.

```
data_Y3Ho2Tm3
_cell_length_a 5.590
_cell_length_b 7.202
_cell_length_c 12.489
_cell_angle_alpha 90.00
_cell_angle_beta 90.00
_cell_angle_gamma 90.00
_space_group_name_H-M_alt 'A m m 2'
_space_group_IT_number 38
loop_
_space_group_symop_operation_xyz
'x,y,z'
'-x,-y,z'
'-x,y,z'
'x,-y,z'
'x,y+1/2,z+1/2'
'-x,-y+1/2,z+1/2'
'-x,y+1/2,z+1/2'
'x,-y+1/2,z+1/2'
loop_
_atom_site_label
_atom_site_type_symbol
_atom_site_fract_x
_atom_site_fract_y
_atom_site_fract_z
Y1 Y 0.000 0.000 0.000
Y2 Y 0.500 0.249 0.416
Ho1 Ho 0.000 0.000 0.500
Ho2 Ho 0.500 0.000 0.166
Tm1 Tm 0.000 0.250 0.249
Tm2 Tm 0.500 0.000 0.666
```

- M_tot (μB/f.u.) = 0.0
- final energy (eV/atom) = -5.243
- ΔE_f (eV per atom) = 0.003